# GGA-PBE Tm12Ni6Ru, relaxed
data_Tm12Ni6Ru
_chemical_formula_sum 'Tm12 Ni6 Ru1'
_symmetry_space_group_name_H-M 'P 1'
_symmetry_Int_Tables_number 1
_symmetry_space_group_name_Hall 'P 1'
_cell_length_a 7.8985
_cell_length_b 7.8985
_cell_length_c 7.8985
_cell_angle_alpha 99.67
_cell_angle_beta 99.67
_cell_angle_gamma 99.67
loop_
_atom_site_label
_atom_site_fract_x
_atom_site_fract_y
_atom_site_fract_z
Tm1 0.8209 0.5883 0.4269
Tm2 0.4269 0.8209 0.5883
Tm3 0.5883 0.4269 0.8209
Tm4 0.1791 0.4117 0.5731
Tm5 0.5731 0.1791 0.4117
Tm6 0.4117 0.5731 0.1791
Tm7 0.0912 0.9536 0.3238
Tm8 0.0464 0.6762 0.9088
Tm9 0.6762 0.9088 0.0464
Tm10 0.9088 0.0464 0.6762
Tm11 0.9536 0.3238 0.0912
Tm12 0.3238 0.0912 0.9536
Ni1 0.6803 0.8642 0.3817
Ni2 0.6183 0.3197 0.1358
Ni3 0.1358 0.6183 0.3197
Ni4 0.3197 0.1358 0.6183
Ni5 0.3817 0.6803 0.8642
Ni6 0.8642 0.3817 0.6803
Ru1 0.0000 0.0000 0.0000
# Crystal system: trigonal
# DFT formation energy, eV per atom: -0.239